[1]
Fe3W: optimized geometry, PBE-GGA.

Summary:
**Space-group type**: No. 223
**Total magnetization**: 1.386 μB/atom
**N(E_F)**: 3.9 states/eV/cell
**Final energy**: -9.5363 eV/atom

Cell and atoms, written as POSCAR:
```
Fe3W
1.0
4.661 0.000 0.000
0.000 4.661 0.000
0.000 0.000 4.661
W Fe
2 6
Cartesian
2.330 2.330 2.330
0.000 0.000 0.000
0.000 1.165 2.330
1.165 2.330 0.000
2.330 0.000 3.496
0.000 3.496 2.330
3.496 2.330 0.000
2.330 0.000 1.165
```

[2]
Fe3W: optimized geometry, PBE-GGA.

Summary:
**Space-group type**: No. 166
**Total magnetization**: 1.677 μB/atom
**N(E_F)**: 4.1 states/eV/cell
**Final energy**: -9.3203 eV/atom

Cell and atoms, written as POSCAR:
```
Fe3W
1.0
-1.726 0.974 -1.856
-3.465 -7.501 1.272
-2.071 1.578 0.768
Fe W
3 1
Cartesian
-3.697 -2.568 0.105
-7.195 -4.856 0.171
-3.548 -4.988 0.682
-3.714 0.039 -0.498
```

[3]
FeW2: optimized geometry, PBE-GGA.

Summary:
**Space-group type**: No. 164
**Total magnetization**: 0.766 μB/atom
**N(E_F)**: 1.8 states/eV/cell
**Relative energy among the computed polymorphs**: 102 meV/atom

Cell and atoms, written as POSCAR:
```
FeW2
1.0
-3.304 -2.203 -1.932
0.113 0.401 4.396
-1.393 2.237 -0.168
W Fe
2 1
Cartesian
-1.479 0.260 2.232
-3.105 0.175 0.064
0.000 0.000 0.000
```

[4]
Fe2W3: optimized geometry, PBE-GGA.

Summary:
**Space-group type**: No. 43
**Total magnetization**: 0.132 μB/atom
**N(E_F)**: 11.3 states/eV/cell
**Relative energy among the computed polymorphs**: 0 meV/atom

Cell and atoms, written as POSCAR:
```
Fe2W3
1.0
0.000 4.655 6.357
2.387 0.000 6.357
2.387 4.655 0.000
Fe W
4 6
Cartesian
2.980 4.389 2.540
1.786 6.717 6.995
1.786 2.594 5.719
2.980 4.921 10.174
2.786 5.213 4.998
0.405 4.655 6.357
3.980 7.540 10.895
2.786 4.098 7.717
1.598 2.328 3.179
3.980 6.426 8.176
```

[5]
Fe3W5: optimized geometry, PBE-GGA.

Summary:
**Space-group type**: No. 65
**Total magnetization**: 0.717 μB/atom
**N(E_F)**: 6.8 states/eV/cell
**Relative energy among the computed polymorphs**: 0 meV/atom

Cell and atoms, written as POSCAR:
```
Fe3W5
1.0
-4.892 1.432 -1.536
3.022 -1.047 -4.256
-1.259 -4.161 0.130
W Fe
5 3
Cartesian
-2.446 0.716 -0.768
0.000 0.000 0.000
1.511 -0.524 -2.128
-1.114 -1.981 -1.436
-2.015 -1.795 -4.227
-0.935 0.192 -2.896
-3.543 -1.268 -2.151
0.414 -2.508 -3.511
```

[6]
FeW5: optimized geometry, PBE-GGA.

Summary:
**Space-group type**: No. 216
**Total magnetization**: 0.601 μB/atom
**N(E_F)**: 6.3 states/eV/cell
**Relative energy among the computed polymorphs**: 455 meV/atom

Cell and atoms, written as POSCAR:
```
FeW5
1.0
0.000 3.690 3.690
3.690 0.000 3.690
3.690 3.690 0.000
W Fe
5 1
Cartesian
2.764 2.764 4.616
1.845 1.845 1.845
4.616 2.764 2.764
4.616 4.616 4.616
2.764 4.616 2.764
0.000 0.000 0.000
```

- N(E_F) of number 2 (Fe3W)?
  4.1 states/eV/cell

- Which value of N(E_F) does entry 5 give?
  6.8 states/eV/cell

- Which value of N(E_F) does entry 5 give?
  6.8 states/eV/cell

- total magnetization of number 2 (Fe3W)?
  1.677 μB/atom